# LaW2Br

An optimized crystal structure of LaW2Br (PBE-GGA, Alexandria).

POSCAR file:
```
LaW2Br
1.0
3.750 0.000 0.000
0.000 3.750 0.000
0.000 0.000 6.388
La W Br
1 2 1
Direct
0.000 0.000 0.000
0.500 0.500 0.312
0.500 0.500 0.688
0.000 0.000 0.500
```

Values from the calculation:
- relative energy among the computed polymorphs (eV per atom) = 1.2098
- total moment (μB/f.u.) = 0.00
- crystal system = tetragonal
- space group = P4/mmm, No. 123